[1]
Here is a geometry-optimized La5PmYEr2 structure from Alexandria via LeMat-Bulk. Energies are from PBE-GGA.

```
data_La5PmYEr2
_chemical_formula_sum 'La20 Pm4 Y4 Er8'
_cell_length_a 5.506
_cell_length_b 21.773
_cell_length_c 10.682
_cell_angle_alpha 90.00
_cell_angle_beta 90.00
_cell_angle_gamma 90.00
_symmetry_space_group_name_H-M 'C m c 21'
_symmetry_Int_Tables_number 36
_symmetry_space_group_name_Hall 'C 2c -2'
loop_
_atom_site_label
_atom_site_type_symbol
_atom_site_fract_x
_atom_site_fract_y
_atom_site_fract_z
La1 La 0.000 0.000 0.000
La2 La 0.000 0.123 0.250
La3 La 0.000 0.221 0.560
La4 La 0.000 0.221 0.941
La5 La 0.000 0.500 0.250
Pm1 Pm 0.000 0.286 0.251
Y1 Y 0.000 0.100 0.750
Er1 Er 0.000 0.387 0.003
Er2 Er 0.000 0.387 0.497
```



[2]
Here is a geometry-optimized RbW2C structure from Alexandria via LeMat-Bulk. Energies are from PBE-GGA.

```
data_RbW2C
_chemical_formula_sum 'Rb4 W8 C4'
_cell_length_a 6.454
_cell_length_b 6.454
_cell_length_c 9.116
_cell_angle_alpha 90.00
_cell_angle_beta 90.00
_cell_angle_gamma 90.00
_symmetry_space_group_name_H-M 'I 41/a m d'
_symmetry_Int_Tables_number 141
loop_
_symmetry_equiv_pos_as_xyz
'x,y,z'
'-x,-y,-z'
'-y+1/4,x+3/4,z+1/4'
'y+1/4,-x+3/4,-z+1/4'
'-x+1/2,-y,z+1/2'
'x+1/2,y,-z+1/2'
'y+1/4,-x+1/4,z+3/4'
'-y+1/4,x+1/4,-z+3/4'
'x,-y,-z'
'-x,y,z'
'-y+1/4,-x+1/4,-z+3/4'
'y+1/4,x+1/4,z+3/4'
'-x+1/2,y,-z+1/2'
'x+1/2,-y,z+1/2'
'y+1/4,x+3/4,-z+1/4'
'-y+1/4,-x+3/4,z+1/4'
'x+1/2,y+1/2,z+1/2'
'-x+1/2,-y+1/2,-z+1/2'
'-y+3/4,x+1/4,z+3/4'
'y+3/4,-x+1/4,-z+3/4'
'-x,-y+1/2,z'
'x,y+1/2,-z'
'y+3/4,-x+3/4,z+1/4'
'-y+3/4,x+3/4,-z+1/4'
'x+1/2,-y+1/2,-z+1/2'
'-x+1/2,y+1/2,z+1/2'
'-y+3/4,-x+3/4,-z+1/4'
'y+3/4,x+3/4,z+1/4'
'-x,y+1/2,-z'
'x,-y+1/2,z'
'y+3/4,x+1/4,-z+3/4'
'-y+3/4,-x+1/4,z+3/4'
loop_
_atom_site_label
_atom_site_type_symbol
_atom_site_fract_x
_atom_site_fract_y
_atom_site_fract_z
Rb1 Rb 0.000 0.250 0.375
W1 W 0.000 0.000 0.000
C1 C 0.000 0.250 0.875
```



[3]
Here is a geometry-optimized Tb3Fe2Si3 structure from Alexandria via LeMat-Bulk. Energies are from PBE-GGA.

```
data_Tb3Fe2Si3
_chemical_formula_sum 'Tb12 Fe8 Si12'
_cell_length_a 4.086
_cell_length_b 10.609
_cell_length_c 13.644
_cell_angle_alpha 90.00
_cell_angle_beta 90.00
_cell_angle_gamma 90.00
_symmetry_space_group_name_H-M 'C m c m'
_symmetry_Int_Tables_number 63
_symmetry_space_group_name_Hall '-C 2c 2'
loop_
_atom_site_label
_atom_site_type_symbol
_atom_site_fract_x
_atom_site_fract_y
_atom_site_fract_z
Tb1 Tb 0.000 0.081 0.112
Tb2 Tb 0.000 0.366 0.250
Fe1 Fe 0.000 0.216 0.580
Si1 Si 0.000 0.322 0.750
Si2 Si 0.000 0.373 0.040
```



[4]
Here is a geometry-optimized NdSc5Cu4 structure from Alexandria via LeMat-Bulk. Energies are from PBE-GGA.

```
data_NdSc5Cu4
_chemical_formula_sum 'Nd1 Sc5 Cu4'
_cell_length_a 3.263
_cell_length_b 3.263
_cell_length_c 18.422
_cell_angle_alpha 90.00
_cell_angle_beta 90.00
_cell_angle_gamma 90.00
_symmetry_space_group_name_H-M 'P 4/m m m'
_symmetry_Int_Tables_number 123
_symmetry_space_group_name_Hall '-P 4 2'
loop_
_atom_site_label
_atom_site_type_symbol
_atom_site_fract_x
_atom_site_fract_y
_atom_site_fract_z
Nd1 Nd 0.000 0.000 0.000
Sc1 Sc 0.500 0.500 0.145
Sc2 Sc 0.500 0.500 0.321
Sc3 Sc 0.500 0.500 0.500
Cu1 Cu 0.000 0.000 0.232
Cu2 Cu 0.000 0.000 0.411
```



[5]
Here is a geometry-optimized SrY2MgGe structure from Alexandria via LeMat-Bulk. Energies are from PBE-GGA.

Output
Excess energy over the best structure of this formula in the dataset   7.09 eV/f.u.

```
data_SrY2MgGe
_chemical_formula_sum 'Sr1 Y2 Mg1 Ge1'
_cell_length_a 5.706
_cell_length_b 5.706
_cell_length_c 5.480
_cell_angle_alpha 90.00
_cell_angle_beta 90.00
_cell_angle_gamma 90.00
_symmetry_space_group_name_H-M 'P 4/m m m'
_symmetry_Int_Tables_number 123
_symmetry_space_group_name_Hall '-P 4 2'
loop_
_atom_site_label
_atom_site_type_symbol
_atom_site_fract_x
_atom_site_fract_y
_atom_site_fract_z
Sr1 Sr 0.000 0.000 0.000
Y1 Y 0.000 0.500 0.000
Mg1 Mg 0.000 0.000 0.500
Ge1 Ge 0.500 0.500 0.500
```



[6]
Here is a geometry-optimized Pm3Nd2Ho6In structure from Alexandria via LeMat-Bulk. Energies are from PBE-GGA.

```
data_Pm3Nd2Ho6In
_chemical_formula_sum 'Pm6 Nd4 Ho12 In2'
_cell_length_a 6.132
_cell_length_b 10.624
_cell_length_c 11.767
_cell_angle_alpha 90.00
_cell_angle_beta 100.04
_cell_angle_gamma 90.00
_symmetry_space_group_name_H-M 'C 1 2/m 1'
_symmetry_Int_Tables_number 12
_symmetry_space_group_name_Hall '-C 2y'
loop_
_atom_site_label
_atom_site_type_symbol
_atom_site_fract_x
_atom_site_fract_y
_atom_site_fract_z
Pm1 Pm 0.000 0.000 0.000
Pm2 Pm 0.000 0.333 0.000
Nd1 Nd 0.000 0.166 0.500
Ho1 Ho 0.245 0.336 0.747
Ho2 Ho 0.245 0.500 0.252
In1 In 0.000 0.500 0.500
```



no.,total magnetization (μB per formula unit),calculated total energy (eV per atom)
1,0.00,-4.8685
2,0.00,-7.5051
3,0.00,-6.5332
4,0.00,-5.4822
5,0.00,-2.8389
6,0.00,-4.5550